The following is a PBE-GGA calculation of a relaxed Ru2SeN crystal, from Alexandria.

a b c (Å): 6.206 6.206 6.206
angles (deg): 133.09 133.09 68.51
Positions (direct):
Ru 0.039 0.625 0.914
Ru 0.375 0.289 0.414
Ru 0.711 0.125 0.086
Ru 0.875 0.961 0.586
Se 0.250 0.750 0.500
Se 0.500 0.500 0.000
N 0.000 0.000 0.000
N 0.750 0.250 0.500

Values from the calculation:
The calculation puts the density of states at the Fermi level at 0.9 states/eV/f.u. As for the size of the total moment: 0.000 Bohr magnetons per cell. The calculated volume comes out at 15.65 A^3/atom. The calculation puts the energy at -7.4613 eV per atom. Its uncorrected formation energy is 0.1291 eV per atom.